First-principles (PBE-GGA) data for a relaxed structure of LaGa2S, as listed in Alexandria.

Its space group is I-42d (122). The calculation puts the raw formation energy at -0.5395 eV/atom. The total magnetic moment is 0.0 μB per cell.

Lattice parameters (Å, degrees): 8.4604 8.4604 5.5800 90.00 90.00 90.00
With the nearest neighbours (Å) after each atom.
Element x y z (fractional)
1 La 0.0000 0.0000 0.0000  2 S 2.79
2 La 0.0000 0.5000 0.2500  2 S 2.79
3 La 0.5000 0.0000 0.7500  2 S 2.79
4 La 0.5000 0.5000 0.5000  2 S 2.79
5 Ga 0.2065 0.2500 0.6250  2 S 2.83, 2 Ga 2.89
6 Ga 0.2500 0.7065 0.8750  2 S 2.83, 2 Ga 2.89
7 Ga 0.2500 0.7935 0.3750  2 S 2.83, 2 Ga 2.89
8 Ga 0.2935 0.2500 0.1250  2 S 2.83, 2 Ga 2.89
9 Ga 0.7065 0.7500 0.1250  2 S 2.83, 2 Ga 2.89
10 Ga 0.7500 0.2065 0.3750  2 S 2.83, 2 Ga 2.89
11 Ga 0.7500 0.2935 0.8750  2 S 2.83, 2 Ga 2.89
12 Ga 0.7935 0.7500 0.6250  2 S 2.83, 2 Ga 2.89
13 S 0.0000 0.0000 0.5000  2 La 2.79, 4 Ga 2.83
14 S 0.0000 0.5000 0.7500  2 La 2.79, 4 Ga 2.83
15 S 0.5000 0.0000 0.2500  2 La 2.79, 4 Ga 2.83
16 S 0.5000 0.5000 0.0000  2 La 2.79, 4 Ga 2.83

=====

First-principles (PBE-GGA) data for a relaxed structure of LaGa2S4, as listed in Alexandria.

Its space group is P-42m (111). The calculation puts the raw formation energy at -0.9401 eV/atom. The total magnetic moment is 0.0 μB per cell.

Lattice parameters (Å, degrees): 5.2937 5.2937 6.7546 90.00 90.00 90.00
With the nearest neighbours (Å) after each atom.
Element x y z (fractional)
1 La 0.0000 0.0000 0.0000  4 S 2.79
2 Ga 0.0000 0.5000 0.5000  4 S 2.36
3 Ga 0.5000 0.0000 0.5000  4 S 2.36
4 S 0.2658 0.2658 0.2891  2 Ga 2.36
5 S 0.2658 0.7342 0.7109  2 Ga 2.36
6 S 0.7342 0.2658 0.7109  2 Ga 2.36
7 S 0.7342 0.7342 0.2891  2 Ga 2.36

=====

First-principles (PBE-GGA) data for a relaxed structure of LaGaS3, as listed in Alexandria.

Its space group is Pna2_1 (33). The calculation puts the raw formation energy at -1.4496 eV/atom. The total magnetic moment is 0.0 μB per cell. For the distance to the lowest polymorph of the same formula, the calculation gives 4 meV per atom.

Lattice parameters (Å, degrees): 10.5029 22.1744 6.0982 90.00 90.00 90.00
With the nearest neighbours (Å) after each atom.
Element x y z (fractional)
1 La 0.0212 0.2426 0.0000  6 S 2.83-3.05
2 La 0.2013 0.5578 0.5132  7 S 2.90-3.08
3 La 0.2445 0.9189 0.5110  6 S 2.89-3.00
4 La 0.2555 0.4189 0.0110  6 S 2.89-3.00
5 La 0.2987 0.0578 0.0132  7 S 2.90-3.08
6 La 0.4788 0.7426 0.5000  6 S 2.83-3.05
7 La 0.5212 0.2574 0.0000  6 S 2.83-3.05
8 La 0.7013 0.9422 0.5132  7 S 2.90-3.08
9 La 0.7445 0.5811 0.5110  6 S 2.89-3.00
10 La 0.7555 0.0811 0.0110  6 S 2.89-3.00
11 La 0.7987 0.4422 0.0132  7 S 2.90-3.08
12 La 0.9788 0.7574 0.5000  6 S 2.83-3.05
13 Ga 0.0241 0.3730 0.4531  4 S 2.23-2.34
14 Ga 0.0258 0.0947 0.6190  4 S 2.28-2.35
15 Ga 0.2294 0.2309 0.4936  4 S 2.22-2.33
16 Ga 0.2706 0.7309 0.9936  4 S 2.22-2.33
17 Ga 0.4742 0.5947 0.1190  4 S 2.28-2.35
18 Ga 0.4759 0.8730 0.9531  4 S 2.23-2.34
19 Ga 0.5241 0.1270 0.4531  4 S 2.23-2.34
20 Ga 0.5258 0.4053 0.6190  4 S 2.28-2.35
21 Ga 0.7294 0.2691 0.4936  4 S 2.22-2.33
22 Ga 0.7706 0.7691 0.9936  4 S 2.22-2.33
23 Ga 0.9742 0.9053 0.1190  4 S 2.28-2.35
24 Ga 0.9759 0.6270 0.9531  4 S 2.23-2.34
25 S 0.0126 0.3707 0.8187  1 Ga 2.23
26 S 0.0255 0.1947 0.4923  2 Ga 2.29-2.35
27 S 0.0320 0.1090 0.9974  1 Ga 2.33
28 S 0.0355 0.4637 0.2793  1 Ga 2.28
29 S 0.1438 0.6744 0.7695  2 Ga 2.28-2.34
30 S 0.1731 0.9418 0.0429  1 Ga 2.29
31 S 0.1868 0.3173 0.2873  2 Ga 2.33-2.34
32 S 0.2132 0.0480 0.5373  1 Ga 2.28
33 S 0.2292 0.7638 0.3299  1 Ga 2.22
34 S 0.2708 0.2638 0.8299  1 Ga 2.22
35 S 0.2868 0.5480 0.0373  1 Ga 2.28
36 S 0.3132 0.8173 0.7873  2 Ga 2.33-2.34
37 S 0.3269 0.4418 0.5429  1 Ga 2.29
38 S 0.3562 0.1744 0.2695  2 Ga 2.28-2.34
39 S 0.4645 0.9637 0.7793  1 Ga 2.28
40 S 0.4680 0.6090 0.4974  1 Ga 2.33
41 S 0.4745 0.6947 0.9923  2 Ga 2.29-2.35
42 S 0.4874 0.8707 0.3187  1 Ga 2.23
43 S 0.5126 0.1293 0.8187  1 Ga 2.23
44 S 0.5255 0.3053 0.4923  2 Ga 2.29-2.35
45 S 0.5320 0.3910 0.9974  1 Ga 2.33
46 S 0.5355 0.0363 0.2793  1 Ga 2.28
47 S 0.6438 0.8256 0.7695  2 Ga 2.28-2.34
48 S 0.6731 0.5582 0.0429  1 Ga 2.29
49 S 0.6868 0.1827 0.2873  2 Ga 2.33-2.34
50 S 0.7132 0.4520 0.5373  1 Ga 2.28
51 S 0.7292 0.7362 0.3299  1 Ga 2.22
52 S 0.7708 0.2362 0.8299  1 Ga 2.22
53 S 0.7868 0.9520 0.0373  1 Ga 2.28
54 S 0.8132 0.6827 0.7873  2 Ga 2.33-2.34
55 S 0.8269 0.0582 0.5429  1 Ga 2.29
56 S 0.8562 0.3256 0.2695  2 Ga 2.28-2.34
57 S 0.9645 0.5363 0.7793  1 Ga 2.28
58 S 0.9680 0.8910 0.4974  1 Ga 2.33
59 S 0.9745 0.8053 0.9923  2 Ga 2.29-2.35
60 S 0.9874 0.6293 0.3187  1 Ga 2.23

=====

First-principles (PBE-GGA) data for a relaxed structure of LaGaS3, as listed in Alexandria.

Its space group is Pm-3m (221). The calculation puts the raw formation energy at -1.0721 eV/atom. The total magnetic moment is 0.0 μB per cell. For the distance to the lowest polymorph of the same formula, the calculation gives 382 meV per atom.

Lattice parameters (Å, degrees): 4.7335 4.7335 4.7335 90.00 90.00 90.00
With the nearest neighbours (Å) after each atom.
Element x y z (fractional)
1 La 0.0000 0.0000 0.0000  12 S 3.35
2 Ga 0.5000 0.5000 0.5000  6 S 2.37
3 S 0.0000 0.5000 0.5000  2 Ga 2.37
4 S 0.5000 0.0000 0.5000  2 Ga 2.37
5 S 0.5000 0.5000 0.0000  2 Ga 2.37

=====

First-principles (PBE-GGA) data for a relaxed structure of La6GaS5, as listed in Alexandria.

Its space group is C2/m (12). The calculation puts the raw formation energy at -1.8808 eV/atom. The total magnetic moment is 0.0 μB per cell.

Lattice parameters (Å, degrees): 7.2953 7.2953 7.2915 99.59 99.59 119.89
With the nearest neighbours (Å) after each atom.
Element x y z (fractional)
1 La 0.0777 0.4158 0.7472  5 S 2.96-2.98, 1 Ga 3.02
2 La 0.2460 0.2460 0.2522  5 S 2.94-2.98, 1 Ga 3.02
3 La 0.4158 0.0777 0.7472  5 S 2.96-2.98, 1 Ga 3.02
4 La 0.5842 0.9223 0.2528  5 S 2.96-2.98, 1 Ga 3.02
5 La 0.7540 0.7540 0.7478  5 S 2.94-2.98, 1 Ga 3.02
6 La 0.9223 0.5842 0.2528  5 S 2.96-2.98, 1 Ga 3.02
7 Ga 0.5000 0.5000 0.0000  6 La 3.02
8 S 0.0000 0.0000 0.5000  6 La 2.94-2.98
9 S 0.1668 0.8332 0.0000  6 La 2.98
10 S 0.3352 0.6648 0.5000  6 La 2.96-2.98
11 S 0.6648 0.3352 0.5000  6 La 2.96-2.98
12 S 0.8332 0.1668 0.0000  6 La 2.98

=====

First-principles (PBE-GGA) data for a relaxed structure of La4Ga2S, as listed in Alexandria.

Its space group is C2/m (12). The calculation puts the raw formation energy at -0.9177 eV/atom. The total magnetic moment is 0.0 μB per cell.

Lattice parameters (Å, degrees): 12.7980 4.4027 8.8953 90.00 124.94 90.00
With the nearest neighbours (Å) after each atom.
Element x y z (fractional)
1 La 0.0866 0.0000 0.3780  1 S 2.87
2 La 0.1739 0.5000 0.0846  2 S 2.91, 2 Ga 3.20
3 La 0.3261 0.0000 0.9154  2 S 2.91, 2 Ga 3.20
4 La 0.4134 0.5000 0.6220  1 S 2.87
5 La 0.5866 0.5000 0.3780  1 S 2.87
6 La 0.6739 0.0000 0.0846  2 S 2.91, 2 Ga 3.20
7 La 0.8261 0.5000 0.9154  2 S 2.91, 2 Ga 3.20
8 La 0.9134 0.0000 0.6220  1 S 2.87
9 Ga 0.1140 0.5000 0.6646  1 Ga 2.70
10 Ga 0.3860 0.0000 0.3354  1 Ga 2.70
11 Ga 0.6140 0.0000 0.6646  1 Ga 2.70
12 Ga 0.8860 0.5000 0.3354  1 Ga 2.70
13 S 0.0000 0.0000 0.0000  6 La 2.87-2.91
14 S 0.5000 0.5000 0.0000  6 La 2.87-2.91

=====

First-principles (PBE-GGA) data for a relaxed structure of La3GaS, as listed in Alexandria.

Its space group is Pm-3m (221). The calculation puts the raw formation energy at -0.8078 eV/atom. The total magnetic moment is 0.0 μB per cell. For the distance to the lowest polymorph of the same formula, the calculation gives 0 meV per atom.

Lattice parameters (Å, degrees): 5.5898 5.5898 5.5898 90.00 90.00 90.00
With the nearest neighbours (Å) after each atom.
Element x y z (fractional)
1 La 0.0000 0.0000 0.5000  2 S 2.79
2 La 0.0000 0.5000 0.0000  2 S 2.79
3 La 0.5000 0.0000 0.0000  2 S 2.79
4 Ga 0.5000 0.5000 0.5000  12 La 3.95
5 S 0.0000 0.0000 0.0000  6 La 2.79

=====

First-principles (PBE-GGA) data for a relaxed structure of La4GaS3, as listed in Alexandria.

Its space group is I4/mmm (139). The calculation puts the raw formation energy at -1.7600 eV/atom. The total magnetic moment is 0.0 μB per cell.

Lattice parameters (Å, degrees): 5.9774 5.9774 12.0049 90.00 90.00 90.00
With the nearest neighbours (Å) after each atom.
Element x y z (fractional)
1 La 0.0000 0.0000 0.2440  5 S 2.93-2.99, 1 Ga 3.07
2 La 0.0000 0.0000 0.7560  5 S 2.93-2.99, 1 Ga 3.07
3 La 0.0000 0.5000 0.0000  4 S 2.99-3.00, 2 Ga 2.99
4 La 0.0000 0.5000 0.5000  4 S 2.99-3.00, 2 Ga 2.99
5 La 0.5000 0.0000 0.0000  4 S 2.99-3.00, 2 Ga 2.99
6 La 0.5000 0.0000 0.5000  4 S 2.99-3.00, 2 Ga 2.99
7 La 0.5000 0.5000 0.2560  5 S 2.93-2.99, 1 Ga 3.07
8 La 0.5000 0.5000 0.7440  5 S 2.93-2.99, 1 Ga 3.07
9 Ga 0.0000 0.0000 0.5000  6 La 2.99-3.07
10 Ga 0.5000 0.5000 0.0000  6 La 2.99-3.07
11 S 0.0000 0.0000 0.0000  6 La 2.93-2.99
12 S 0.0000 0.5000 0.2500  6 La 2.99-3.00
13 S 0.0000 0.5000 0.7500  6 La 2.99-3.00
14 S 0.5000 0.0000 0.2500  6 La 2.99-3.00
15 S 0.5000 0.0000 0.7500  6 La 2.99-3.00
16 S 0.5000 0.5000 0.5000  6 La 2.93-2.99

=====

First-principles (PBE-GGA) data for a relaxed structure of La4GaSe2S, as listed in Alexandria.

Its space group is P2/m (10). The calculation puts the raw formation energy at -1.6603 eV/atom. The total magnetic moment is 0.0 μB per cell.

Lattice parameters (Å, degrees): 7.4785 4.2741 7.5534 90.00 109.06 90.00
With the nearest neighbours (Å) after each atom.
Element x y z (fractional)
1 La 0.2444 0.0000 0.2397  2 S 3.00, 1 Ga 3.03, 3 Se 3.09-3.10
2 La 0.2474 0.5000 0.7536  1 S 3.02, 2 Ga 3.05, 3 Se 3.06-3.10
3 La 0.7526 0.5000 0.2464  1 S 3.02, 2 Ga 3.05, 3 Se 3.06-3.10
4 La 0.7556 0.0000 0.7603  2 S 3.00, 1 Ga 3.03, 3 Se 3.09-3.10
5 Ga 0.5000 0.0000 0.0000  6 La 3.03-3.05
6 Se 0.0000 0.0000 0.5000  6 La 3.06-3.09
7 Se 0.5000 0.5000 0.5000  6 La 3.10
8 S 0.0000 0.5000 0.0000  6 La 3.00-3.02

=====

First-principles (PBE-GGA) data for a relaxed structure of LaGaSb, as listed in Alexandria.

Its space group is I4mm (107). The calculation puts the raw formation energy at -0.5546 eV/atom. The total magnetic moment is 0.6 μB per cell. For the distance to the lowest polymorph of the same formula, the calculation gives 121 meV per atom.

Lattice parameters (Å, degrees): 3.8214 3.8214 10.9419 90.00 90.00 90.00
With the nearest neighbours (Å) after each atom.
Element x y z (fractional)
1 La 0.0000 0.0000 0.0000  5 Sb 3.33-3.45, 5 Ga 3.38-3.42
2 La 0.5000 0.5000 0.5000  5 Sb 3.33-3.45, 5 Ga 3.38-3.42
3 Ga 0.0000 0.0000 0.6913  4 Sb 2.97
4 Ga 0.5000 0.5000 0.1913  4 Sb 2.97
5 Sb 0.0000 0.0000 0.3044  4 Ga 2.97
6 Sb 0.5000 0.5000 0.8044  4 Ga 2.97

=====

First-principles (PBE-GGA) data for a relaxed structure of La2GaSb2, as listed in Alexandria.

Its space group is P4/mbm (127). The calculation puts the raw formation energy at -0.8416 eV/atom. The total magnetic moment is 0.0 μB per cell. For the distance to the lowest polymorph of the same formula, the calculation gives 0 meV per atom.

Lattice parameters (Å, degrees): 8.4514 8.4514 4.3184 90.00 90.00 90.00
With the nearest neighbours (Å) after each atom.
Element x y z (fractional)
1 La 0.1563 0.3437 0.0000  6 Sb 3.17-3.37
2 La 0.3437 0.8437 0.0000  6 Sb 3.17-3.37
3 La 0.6563 0.1563 0.0000  6 Sb 3.17-3.37
4 La 0.8437 0.6563 0.0000  6 Sb 3.17-3.37
5 Ga 0.0000 0.0000 0.5000  4 Sb 3.22
6 Ga 0.5000 0.5000 0.5000  4 Sb 3.22
7 Sb 0.1499 0.6499 0.5000  6 La 3.17-3.37, 2 Ga 3.22
8 Sb 0.3501 0.1499 0.5000  6 La 3.17-3.37, 2 Ga 3.22
9 Sb 0.6499 0.8501 0.5000  6 La 3.17-3.37, 2 Ga 3.22
10 Sb 0.8501 0.3501 0.5000  6 La 3.17-3.37, 2 Ga 3.22

=====

First-principles (PBE-GGA) data for a relaxed structure of La10Ga3Sb3, as listed in Alexandria.

Its space group is P-62m (189). The calculation puts the raw formation energy at -0.6943 eV/atom. The total magnetic moment is 0.0 μB per cell.

Lattice parameters (Å, degrees): 9.3912 9.3912 6.7507 90.00 90.00 120.00
With the nearest neighbours (Å) after each atom.
Element x y z (fractional)
1 La 0.0000 0.2474 0.0000  3 Sb 3.20-3.42
2 La 0.0000 0.7512 0.5000  3 Ga 3.22-3.39
3 La 0.2474 0.0000 0.0000  3 Sb 3.20-3.42
4 La 0.2488 0.2488 0.5000  3 Ga 3.22-3.39
5 La 0.3333 0.6667 0.2442  2 La 3.30-3.45, 3 Sb 3.34, 3 Ga 3.38
6 La 0.3333 0.6667 0.7558  2 La 3.30-3.45, 3 Sb 3.34, 3 Ga 3.38
7 La 0.6667 0.3333 0.2442  2 La 3.30-3.45, 3 Sb 3.34, 3 Ga 3.38
8 La 0.6667 0.3333 0.7558  2 La 3.30-3.45, 3 Sb 3.34, 3 Ga 3.38
9 La 0.7512 0.0000 0.5000  3 Ga 3.22-3.39
10 La 0.7526 0.7526 0.0000  3 Sb 3.20-3.42
11 Ga 0.0000 0.3904 0.5000  7 La 3.22-3.39
12 Ga 0.3904 0.0000 0.5000  7 La 3.22-3.39
13 Ga 0.6096 0.6096 0.5000  7 La 3.22-3.39
14 Sb 0.0000 0.6118 0.0000  7 La 3.20-3.42
15 Sb 0.3882 0.3882 0.0000  7 La 3.20-3.42
16 Sb 0.6118 0.0000 0.0000  7 La 3.20-3.42